[1]
Below is Ba2AlGeH after structural relaxation, with properties calculated at the PBE-GGA level.

a = 4.4460 Å, b = 6.5862 Å, c = 10.5011 Å
α = 112.26°, β = 90.00°, γ = 90.00°
Sites, in units of the cell vectors:
1 Ba 0.7500 0.7873 0.5637
2 Ba 0.2500 0.2182 0.9205
3 Ba 0.2500 0.2127 0.4363
4 Ba 0.7500 0.7818 0.0795
5 H 0.2500 0.8104 0.7086
6 H 0.7500 0.1896 0.2914
7 Ge 0.7500 0.3901 0.7095
8 Ge 0.2500 0.6099 0.2905
9 Al 0.2500 0.6250 0.7930
10 Al 0.7500 0.3750 0.2070

Results
- Total DFT energy (no corrections): -3.55 eV/atom
- Spin magnetization: 0.0 μB/f.u.
- Calculated volume: 28.46 A^3/atom

***

[2]
Below is Rb2TlHg7 after structural relaxation, with properties calculated at the PBE-GGA level.

a = 5.1703 Å, b = 5.1703 Å, c = 12.7890 Å
α = 90.00°, β = 90.00°, γ = 90.00°
Sites, in units of the cell vectors:
1 Hg 0.5000 0.0000 0.3680
2 Hg 0.0000 0.0000 0.5000
3 Hg 0.0000 0.5000 0.8660
4 Hg 0.5000 0.5000 0.5000
5 Hg 0.0000 0.5000 0.6320
6 Hg 0.0000 0.0000 0.0000
7 Hg 0.5000 0.0000 0.1340
8 Tl 0.5000 0.5000 0.0000
9 Rb 0.5000 0.0000 0.7452
10 Rb 0.0000 0.5000 0.2548

Results
- Total DFT energy (no corrections): -0.81 eV/atom
- Spin magnetization: 0.0 μB/f.u.
- Calculated volume: 34.19 A^3/atom

***

[3]
Below is Mg7AlCd4 after structural relaxation, with properties calculated at the PBE-GGA level.

a = 5.1602 Å, b = 8.5632 Å, c = 7.3416 Å
α = 80.17°, β = 69.42°, γ = 72.46°
Sites, in units of the cell vectors:
1 Al 0.0000 0.0000 0.0000
2 Mg 0.5000 0.0000 0.0000
3 Mg 0.6582 0.4011 0.2824
4 Mg 0.9332 0.3331 0.8006
5 Mg 0.2166 0.1342 0.4326
6 Mg 0.7834 0.8658 0.5674
7 Mg 0.3418 0.5989 0.7176
8 Mg 0.0668 0.6669 0.1994
9 Cd 0.7024 0.6545 0.9408
10 Cd 0.4318 0.7828 0.3536
11 Cd 0.5682 0.2172 0.6464
12 Cd 0.2976 0.3455 0.0592

Results
- Total DFT energy (no corrections): -1.46 eV/atom
- Spin magnetization: 0.0 μB/f.u.
- Calculated volume: 24.07 A^3/atom

***

[4]
Below is TmZnGa4Ni2 after structural relaxation, with properties calculated at the PBE-GGA level.

a = 4.1371 Å, b = 4.1371 Å, c = 8.9542 Å
α = 76.64°, β = 76.64°, γ = 60.00°
Sites, in units of the cell vectors:
1 Ga 0.6024 0.6024 0.1927
2 Ga 0.3976 0.3976 0.8073
3 Ga 0.1220 0.1220 0.6338
4 Ga 0.8780 0.8780 0.3661
5 Ni 0.7658 0.7658 0.7026
6 Ni 0.2342 0.2342 0.2974
7 Tm 0.0000 0.0000 0.0000
8 Zn 0.5000 0.5000 0.5000

Results
- Total DFT energy (no corrections): -4.00 eV/atom
- Spin magnetization: 0.0 μB/f.u.
- Calculated volume: 15.99 A^3/atom

***

[5]
Below is Pm12Ho5Pu after structural relaxation, with properties calculated at the PBE-GGA level.

a = 11.2162 Å, b = 10.6068 Å, c = 5.9217 Å
α = 89.99°, β = 89.98°, γ = 58.08°
Site moments in Bohr magnetons follow the coordinates.
Sites, in units of the cell vectors:
1 Pm 0.3361 0.0000 0.0019  -0.01
2 Pm 0.9954 0.3312 0.9974  0.05
3 Pm 0.1705 0.3330 0.4976  -0.04
4 Pm 0.8295 0.6670 0.5024  -0.04
5 Pm 0.8424 0.0000 0.4982  0.12
6 Pm 0.4965 0.3330 0.5024  -0.04
7 Pm 0.5035 0.6670 0.4976  -0.04
8 Pm 0.6734 0.3312 0.0026  0.05
9 Pm 0.6639 0.0000 0.9981  -0.01
10 Pm 0.0046 0.6688 0.0026  0.05
11 Pm 0.1576 0.0000 0.5018  0.12
12 Pm 0.3266 0.6688 0.9974  0.05
13 Ho 0.5000 0.0000 0.5000  -0.15
14 Ho 0.1679 0.6642 0.5000  0.07
15 Ho 0.8321 0.3358 0.5000  0.07
16 Ho 0.6665 0.6671 0.0000  -0.06
17 Ho 0.3335 0.3329 0.0000  -0.06
18 Pu 0.0000 0.0000 0.0000  5.67

Results
- Total DFT energy (no corrections): -5.16 eV/atom
- Spin magnetization: 6.4 μB/f.u.
- Calculated volume: 33.22 A^3/atom

***

[6]
Below is SbSN2F after structural relaxation, with properties calculated at the PBE-GGA level.

a = 4.0989 Å, b = 4.0989 Å, c = 4.0396 Å
α = 90.00°, β = 90.00°, γ = 90.00°
Sites, in units of the cell vectors:
1 S 0.5000 0.5000 0.5000
2 Sb 0.0000 0.0000 0.0000
3 N 0.5000 0.0000 0.0000
4 N 0.0000 0.5000 0.0000
5 F 0.0000 0.0000 0.5000

Results
- E_form (uncorrected): 950 meV/atom
- Total DFT energy (no corrections): -4.40 eV/atom
- Spin magnetization: 0.0 μB/f.u.
- Calculated volume: 13.57 A^3/atom
- Polymorph energy (0 for the lowest one): 25 meV per atom

***

[7]
Below is Ba3La3PmSe8 after structural relaxation, with properties calculated at the PBE-GGA level.

a = 8.7955 Å, b = 8.7939 Å, c = 9.1127 Å
α = 118.86°, β = 90.00°, γ = 120.01°
Sites, in units of the cell vectors:
1 Se 0.7636 0.5272 0.2817
2 Se 0.2364 0.4728 0.7183
3 Se 0.2577 0.5153 0.2731
4 Se 0.7423 0.4847 0.7269
5 Se 0.2364 0.9818 0.7182
6 Se 0.7636 0.0182 0.2818
7 Se 0.7454 0.9818 0.7182
8 Se 0.2546 0.0182 0.2818
9 La 0.5000 0.0000 0.5000
10 La 0.5000 0.5000 0.5000
11 La 0.0000 0.5000 0.5000
12 Pm 0.0000 0.0000 0.5000
13 Ba 0.0000 0.5000 0.0000
14 Ba 0.5000 0.5000 0.0000
15 Ba 0.0000 0.0000 0.0000

Results
- E_form (uncorrected): -1995 meV/atom
- Total DFT energy (no corrections): -5.54 eV/atom
- Spin magnetization: 0.0 μB/f.u.
- Calculated volume: 33.78 A^3/atom

***

[8]
Below is TiTcTe2N after structural relaxation, with properties calculated at the PBE-GGA level.

a = 5.4197 Å, b = 5.4197 Å, c = 3.6959 Å
α = 90.00°, β = 90.00°, γ = 90.00°
Site moments in Bohr magnetons follow the coordinates.
Sites, in units of the cell vectors:
1 Ti 0.5000 0.5000 0.5000  1.50
2 Te 0.0000 0.5000 0.0000  -0.05
3 Te 0.5000 0.0000 0.0000  -0.05
4 N 0.0000 0.0000 0.5000  0.00
5 Tc 0.0000 0.0000 0.0000  0.11

Results
- E_form (uncorrected): 298 meV/atom
- Total DFT energy (no corrections): -6.28 eV/atom
- Spin magnetization: 1.8 μB/f.u.
- Calculated volume: 21.71 A^3/atom
- Polymorph energy (0 for the lowest one): 0 meV per atom